[1]
! Sc3Sn, relaxed, DFT PBEsol; values from VASP
! V: 21.84 Å³/atom
! Electronic total energy: -6.51 eV per atom
! Formation enthalpy at 0 K: -0.49 eV per atom
&SYSTEM
  ibrav = 0, nat = 8, ntyp = 2
/
ATOMIC_SPECIES
Sc 44.96 Sc.upf
Sn 118.71 Sn.upf
CELL_PARAMETERS angstrom
-4.2875 1.1773 -2.4850
-3.2935 -0.8032 5.3017
2.3687 5.6580 -1.4061
ATOMIC_POSITIONS crystal
Sc 0.2500 0.8313 0.6626
Sc 0.7500 0.6626 0.8313
Sc 0.2500 0.3374 0.1687
Sn 0.2500 0.3333 0.6667
Sc 0.7500 0.1687 0.8313
Sc 0.7500 0.1687 0.3374
Sc 0.2500 0.8313 0.1687
Sn 0.7500 0.6667 0.3333



[2]
! Sc6Sn5, relaxed, DFT PBEsol; values from VASP
! V: 22.46 Å³/atom
! Electronic total energy: -6.27 eV per atom
! Formation enthalpy at 0 K: -0.73 eV per atom
&SYSTEM
  ibrav = 0, nat = 22, ntyp = 2
/
ATOMIC_SPECIES
Sc 44.96 Sc.upf
Sn 118.71 Sn.upf
CELL_PARAMETERS angstrom
5.9823 0.0000 0.0000
0.0000 8.7619 0.0000
-2.9911 -4.3810 9.4287
ATOMIC_POSITIONS crystal
Sc 0.0625 0.3226 0.1249
Sc 0.9435 0.6935 0.3870
Sn 0.9289 0.3325 0.8578
Sn 0.7912 0.5933 0.5823
Sc 0.9375 0.6774 0.8751
Sn 0.2912 0.9891 0.5823
Sc 0.8585 0.9733 0.7170
Sn 0.5711 0.4748 0.1422
Sc 0.5565 0.3065 0.6130
Sn 0.2500 0.0000 0.0000
Sc 0.1415 0.0267 0.2830
Sc 0.4375 0.1976 0.8751
Sn 0.0711 0.6675 0.1422
Sc 0.0565 0.3065 0.6130
Sn 0.7500 0.0000 0.0000
Sn 0.2088 0.4067 0.4177
Sc 0.3585 0.7437 0.7170
Sc 0.4435 0.6935 0.3870
Sn 0.7088 0.0109 0.4177
Sc 0.5625 0.8024 0.1249
Sn 0.4289 0.5252 0.8578
Sc 0.6415 0.2563 0.2830



[3]
! ScTcSn3, relaxed, DFT PBEsol; values from VASP
! V: 26.16 Å³/atom
! Electronic total energy: -5.77 eV per atom
! Formation enthalpy at 0 K: 0.36 eV per atom
&SYSTEM
  ibrav = 0, nat = 5, ntyp = 3
/
ATOMIC_SPECIES
Sn 118.71 Sn.upf
Tc 98.00 Tc.upf
Sc 44.96 Sc.upf
CELL_PARAMETERS angstrom
5.0763 0.0000 0.0000
0.0000 5.0763 0.0000
0.0000 0.0000 5.0763
ATOMIC_POSITIONS crystal
Sn 0.0000 0.5000 0.0000
Sn 0.0000 0.0000 0.5000
Tc 0.0000 0.0000 0.0000
Sc 0.5000 0.5000 0.5000
Sn 0.5000 0.0000 0.0000



[4]
! Zr2ScTlSn, relaxed, DFT PBEsol; values from VASP
! V: 26.03 Å³/atom
! Electronic total energy: -5.50 eV per atom
! Formation enthalpy at 0 K: 0.83 eV per atom
&SYSTEM
  ibrav = 0, nat = 5, ntyp = 4
/
ATOMIC_SPECIES
Sn 118.71 Sn.upf
Tl 204.38 Tl.upf
Sc 44.96 Sc.upf
Zr 91.22 Zr.upf
CELL_PARAMETERS angstrom
-4.0020 1.5269 -2.5079
1.2984 -2.8822 -3.8267
-2.8026 -3.9818 2.0481
ATOMIC_POSITIONS crystal
Sn 0.5000 0.5000 0.5000
Tl 0.0000 0.0000 0.5000
Sc 0.0000 0.0000 0.0000
Zr 0.5000 0.0000 0.0000
Zr 0.0000 0.5000 0.0000



[5]
! SrSc2, relaxed, DFT PBEsol; values from VASP
! V: 29.82 Å³/atom
! Electronic total energy: -4.61 eV per atom
! Formation enthalpy at 0 K: 0.40 eV per atom
&SYSTEM
  ibrav = 0, nat = 3, ntyp = 2
/
ATOMIC_SPECIES
Sc 44.96 Sc.upf
Sr 87.62 Sr.upf
CELL_PARAMETERS angstrom
3.3298 0.0000 0.0000
0.0000 5.5700 0.0000
0.0000 -2.7850 4.8238
ATOMIC_POSITIONS crystal
Sc 0.5000 0.6667 0.3333
Sr 0.0000 0.0000 0.0000
Sc 0.5000 0.3333 0.6667



[6]
! Sr3Sc, relaxed, DFT PBEsol; values from VASP
! V: 41.19 Å³/atom
! Electronic total energy: -2.78 eV per atom
! Offset from the most stable computed form: 0 meV per atom
! Formation enthalpy at 0 K: 0.26 eV per atom
&SYSTEM
  ibrav = 0, nat = 4, ntyp = 2
/
ATOMIC_SPECIES
Sc 44.96 Sc.upf
Sr 87.62 Sr.upf
CELL_PARAMETERS angstrom
-2.1449 2.7111 -2.3624
-5.2588 -1.4722 3.0851
4.8692 3.9295 3.7992
ATOMIC_POSITIONS crystal
Sc 0.0000 0.9167 0.0000
Sr 0.5000 0.4166 0.0000
Sr 0.7285 0.1451 0.4569
Sr 0.2715 0.6882 0.5431



[7]
! Sr3Sc, relaxed, DFT PBEsol; values from VASP
! V: 40.86 Å³/atom
! Electronic total energy: -2.76 eV per atom
! Offset from the most stable computed form: 18 meV per atom
! Formation enthalpy at 0 K: 0.27 eV per atom
&SYSTEM
  ibrav = 0, nat = 4, ntyp = 2
/
ATOMIC_SPECIES
Sc 44.96 Sc.upf
Sr 87.62 Sr.upf
CELL_PARAMETERS angstrom
-3.5889 -0.9849 0.6183
1.4107 -5.7620 -0.9897
2.8514 -0.4637 6.7637
ATOMIC_POSITIONS crystal
Sc 0.0000 0.0000 0.0000
Sr 0.5000 0.0000 0.5000
Sr 0.7683 0.5000 0.2336
Sr 0.2317 0.5000 0.7664



[8]
! SrScTa2, relaxed, DFT PBEsol; values from VASP
! V: 23.91 Å³/atom
! Electronic total energy: -7.82 eV per atom
! Offset from the most stable computed form: 10 meV per atom
! Formation enthalpy at 0 K: 0.57 eV per atom
&SYSTEM
  ibrav = 0, nat = 4, ntyp = 3
/
ATOMIC_SPECIES
Ta 180.95 Ta.upf
Sc 44.96 Sc.upf
Sr 87.62 Sr.upf
CELL_PARAMETERS angstrom
-1.5588 -1.3805 2.1727
4.7368 -1.4878 0.3690
0.9537 5.2728 4.0345
ATOMIC_POSITIONS crystal
Ta 0.2511 0.5021 0.7735
Sc 0.5136 0.0271 0.5622
Sr 0.7479 0.4959 0.2363
Ta 0.9874 0.9749 0.9280



[9]
! SrScTa2, relaxed, DFT PBEsol; values from VASP
! V: 21.58 Å³/atom
! Electronic total energy: -7.55 eV per atom
! Offset from the most stable computed form: 277 meV per atom
! Formation enthalpy at 0 K: 0.84 eV per atom
&SYSTEM
  ibrav = 0, nat = 4, ntyp = 3
/
ATOMIC_SPECIES
Ta 180.95 Ta.upf
Sc 44.96 Sc.upf
Sr 87.62 Sr.upf
CELL_PARAMETERS angstrom
3.9111 0.0000 0.0000
0.0000 4.3150 0.0000
0.0000 0.0000 5.1150
ATOMIC_POSITIONS crystal
Ta 0.5000 0.5000 0.0000
Ta 0.0000 0.0000 0.0000
Sc 0.5000 0.0000 0.5000
Sr 0.0000 0.5000 0.5000



[10]
! SrScTa2, relaxed, DFT PBEsol; values from VASP
! V: 23.94 Å³/atom
! Electronic total energy: -7.83 eV per atom
! Offset from the most stable computed form: 0 meV per atom
! Formation enthalpy at 0 K: 0.56 eV per atom
&SYSTEM
  ibrav = 0, nat = 4, ntyp = 3
/
ATOMIC_SPECIES
Ta 180.95 Ta.upf
Sc 44.96 Sc.upf
Sr 87.62 Sr.upf
CELL_PARAMETERS angstrom
-1.3469 -1.3806 -2.3142
-3.0269 -1.9387 2.9184
-3.8023 5.7803 -0.1038
ATOMIC_POSITIONS crystal
Ta 0.0041 0.0000 0.0732
Sc 0.5060 0.0000 0.4349
Sr 0.2290 0.5000 0.7681
Ta 0.7610 0.5000 0.2239



[11]
! SrScTa2, relaxed, DFT PBEsol; values from VASP
! V: 23.71 Å³/atom
! Electronic total energy: -7.66 eV per atom
! Offset from the most stable computed form: 170 meV per atom
! Formation enthalpy at 0 K: 0.73 eV per atom
&SYSTEM
  ibrav = 0, nat = 4, ntyp = 3
/
ATOMIC_SPECIES
Ta 180.95 Ta.upf
Sc 44.96 Sc.upf
Sr 87.62 Sr.upf
CELL_PARAMETERS angstrom
-1.4006 -2.3124 -1.7930
-1.5697 -2.6649 4.6631
-2.9929 5.1781 -1.4055
ATOMIC_POSITIONS crystal
Ta 0.7265 0.2265 0.4531
Sc 0.4724 0.4724 0.9447
Sr 0.2647 0.7647 0.5294
Ta 0.0364 0.0364 0.0728



[12]
! SrScTc2, relaxed, DFT PBEsol; values from VASP
! V: 18.36 Å³/atom
! Electronic total energy: -6.96 eV per atom
! Offset from the most stable computed form: 385 meV per atom
! Formation enthalpy at 0 K: 0.78 eV per atom
&SYSTEM
  ibrav = 0, nat = 4, ntyp = 3
/
ATOMIC_SPECIES
Tc 98.00 Tc.upf
Sc 44.96 Sc.upf
Sr 87.62 Sr.upf
CELL_PARAMETERS angstrom
-1.1010 1.2913 -2.2642
-0.6904 -5.2567 -1.5047
-3.4406 1.8518 3.8867
ATOMIC_POSITIONS crystal
Tc 0.0000 0.5000 0.0000
Sc 0.5000 0.0000 0.0000
Sr 0.5000 0.5000 0.5000
Tc 0.0000 0.0000 0.5000



[13]
! SrScTc2, relaxed, DFT PBEsol; values from VASP
! V: 22.02 Å³/atom
! Electronic total energy: -7.35 eV per atom
! Offset from the most stable computed form: 0 meV per atom
! Formation enthalpy at 0 K: 0.39 eV per atom
&SYSTEM
  ibrav = 0, nat = 4, ntyp = 3
/
ATOMIC_SPECIES
Sr 87.62 Sr.upf
Tc 98.00 Tc.upf
Sc 44.96 Sc.upf
CELL_PARAMETERS angstrom
3.5065 0.0000 0.0000
0.0000 3.6759 0.0000
0.0000 0.0000 6.8337
ATOMIC_POSITIONS crystal
Sr 0.5000 0.5000 0.0000
Tc 0.0000 0.0000 0.3381
Sc 0.5000 0.5000 0.5000
Tc 0.0000 0.0000 0.6619



[14]
! SrSc2Te4, relaxed, DFT PBEsol; values from VASP
! V: 29.75 Å³/atom
! Electronic total energy: -5.54 eV per atom
! Uncorrected formation energy: -1.38 eV/atom
&SYSTEM
  ibrav = 0, nat = 28, ntyp = 3
/
ATOMIC_SPECIES
Te 127.60 Te.upf
Sr 87.62 Sr.upf
Sc 44.96 Sc.upf
CELL_PARAMETERS angstrom
4.1847 0.0000 0.0000
0.0000 13.0752 0.0000
0.0000 0.0000 15.2221
ATOMIC_POSITIONS crystal
Te 0.7500 0.7023 0.6562
Sr 0.7500 0.7621 0.3254
Te 0.7500 0.4055 0.5740
Sc 0.7500 0.9470 0.1114
Sr 0.2500 0.7379 0.8254
Sc 0.2500 0.0530 0.8886
Sc 0.2500 0.5842 0.0932
Te 0.7500 0.1260 0.5330
Sc 0.7500 0.9158 0.5932
Sc 0.2500 0.5530 0.6114
Sr 0.7500 0.2621 0.1746
Te 0.7500 0.5312 0.2142
Te 0.7500 0.2023 0.8438
Sc 0.7500 0.4470 0.3886
Te 0.2500 0.5945 0.4260
Te 0.7500 0.6260 0.9670
Sc 0.2500 0.0842 0.4068
Te 0.2500 0.8740 0.4670
Te 0.2500 0.2977 0.3438
Te 0.2500 0.4688 0.7858
Te 0.2500 0.3740 0.0330
Sr 0.2500 0.2379 0.6746
Te 0.7500 0.0312 0.2858
Sc 0.7500 0.4158 0.9068
Te 0.7500 0.9055 0.9260
Te 0.2500 0.0945 0.0740
Te 0.2500 0.9688 0.7142
Te 0.2500 0.7977 0.1562